Run i
Entry from OQMD: a relaxed structure of RbCoTcAu (PBE-GGA).

```
RbCoTcAu
1.0
-1.859 1.929 4.056
-4.223 -1.644 1.759
-0.076 -2.592 4.111
Au Co Rb Tc
1 1 1 1
Direct
0.750 0.750 0.750
0.250 0.250 0.250
0.500 0.500 0.500
0.000 0.000 0.000
```

Values from the calculation:
mass density = 8986 kg/m³

***

Run ii
Entry from OQMD: a relaxed structure of RbCoTcAu (PBE-GGA).

```
RbCoTcAu
1.0
0.000 3.376 3.376
3.376 0.000 3.376
3.376 3.376 0.000
Au Co Rb Tc
1 1 1 1
Direct
0.750 0.750 0.750
0.000 0.000 0.000
0.500 0.500 0.500
0.250 0.250 0.250
```

Values from the calculation:
mass density = 9478 kg/m³

***

Run iii
Entry from OQMD: a relaxed structure of RbCoTcAu (PBE-GGA).

```
RbCoTcAu
1.0
0.000 3.369 3.369
3.369 0.000 3.369
3.369 3.369 0.000
Au Co Rb Tc
1 1 1 1
Direct
0.750 0.750 0.750
0.500 0.500 0.500
0.250 0.250 0.250
0.000 0.000 0.000
```

Values from the calculation:
mass density = 9538 kg/m³

***

Most stable structure: run i